Model a:
VASP calculation (PBE) on a relaxed Ta2VOs crystal.

## Properties
N(E_F), states/eV per atom: 0.485
Symmetry: P4/mmm, No. 123
Total magnetic moment, μB per formula unit: 0.00

Unit cell a=3.148 b=4.500 c=4.500 alpha=90.00 beta=90.00 gamma=90.00
Atoms (fractional coordinates):
Ta (0.000, 0.000, 0.500)
Os (0.500, 0.000, 0.000)
V (0.500, 0.500, 0.500)
Ta (0.000, 0.500, 0.000)

=====

Model b:
VASP calculation (PBE) on a relaxed Ta2VOs crystal.

## Properties
N(E_F), states/eV per atom: 1.032
Symmetry: I-42d, No. 122
Total magnetic moment, μB per formula unit: 0.00

Unit cell a=7.174 b=7.174 c=5.756 alpha=51.45 beta=51.45 gamma=90.00
Atoms (fractional coordinates):
Ta (0.638, 0.125, 0.250)
Ta (0.875, 0.888, 0.750)
V (0.250, 0.750, 0.500)
Os (0.000, 0.000, 0.000)
Ta (0.375, 0.362, 0.750)
V (0.500, 0.500, 0.000)
Os (0.750, 0.250, 0.500)
Ta (0.112, 0.625, 0.250)

=====

Referenced to the most stable arrangement, the calculated values in kJ/mol of atoms are model a 0.0; model b 83.0.

=====

Model a:
VASP calculation (PBE) on a relaxed TaVOs crystal.

## Properties
N(E_F), states/eV per atom: 0.997
Symmetry: Imma, No. 74
Total magnetic moment, μB per formula unit: 0.00

Unit cell a=5.069 b=5.069 c=5.069 alpha=91.59 beta=121.85 gamma=116.40
Atoms (fractional coordinates):
V (0.500, 0.500, 0.500)
Os (0.000, 0.500, 0.500)
Ta (0.750, 0.874, 0.124)
Ta (0.250, 0.126, 0.876)
V (0.000, 0.500, 0.000)
Os (0.500, 0.000, 0.500)

=====

Model b:
VASP calculation (PBE) on a relaxed TaVOs crystal.

## Properties
N(E_F), states/eV per atom: 0.722
Symmetry: I4mm, No. 107
Total magnetic moment, μB per formula unit: 0.00

Unit cell a=3.111 b=3.111 c=5.213 alpha=107.36 beta=107.36 gamma=90.00
Atoms (fractional coordinates):
Os (0.338, 0.338, 0.676)
Ta (0.665, 0.665, 0.329)
V (0.998, 0.998, 0.995)

=====

Model c:
VASP calculation (PBE) on a relaxed TaVOs crystal.

## Properties
N(E_F), states/eV per atom: 0.500
Symmetry: P3m1, No. 156
Total magnetic moment, μB per formula unit: 0.00

Unit cell a=2.801 b=4.343 c=4.343 alpha=120.00 beta=90.00 gamma=90.00
Atoms (fractional coordinates):
Ta (0.332, 0.667, 0.333)
Os (0.674, 0.333, 0.667)
V (0.994, 0.000, 0.000)

=====

Referenced to the most stable arrangement, the calculated values in kJ/mol of atoms are model a 0.0; model b 1.6; model c 8.8.